Record 1
LiY2OsC: optimized geometry, GGA-PBE.

```
LiY2OsC
1.0
5.001 0.000 0.000
0.000 5.001 0.000
0.000 0.000 3.908
C Os Li Y
1 1 1 2
direct
0.000 0.000 0.000
0.000 0.000 0.500
0.500 0.500 0.500
0.000 0.500 0.000
0.500 0.000 0.000
```

E in eV per atom: -7.35

Record 2
LiPt3C: optimized geometry, GGA-PBE.

```
LiPt3C
1.0
4.149 0.000 0.000
0.000 4.149 0.000
0.000 0.000 4.149
C Pt Li
1 3 1
direct
0.500 0.500 0.500
0.000 0.500 0.500
0.500 0.000 0.500
0.500 0.500 0.000
0.000 0.000 0.000
```

E in eV per atom: -5.82

Record 3
Li2PtC2: optimized geometry, GGA-PBE.

```
Li2PtC2
1.0
-1.383 1.875 5.444
1.383 -1.875 5.444
1.383 1.875 -5.444
Pt C Li
1 2 2
direct
0.000 0.000 0.000
0.178 0.178 0.000
0.822 0.822 0.000
0.635 0.635 0.000
0.365 0.365 0.000
```

E in eV per atom: -4.74

Record 4
Sr2LiPtC2: optimized geometry, GGA-PBE.

```
Sr2LiPtC2
1.0
3.858 0.000 0.000
0.000 4.271 0.000
0.000 0.000 7.558
Sr C Li Pt
2 2 1 1
direct
0.500 0.500 0.251
0.500 0.500 0.749
0.000 0.500 0.000
0.500 0.000 0.500
0.000 0.000 0.000
0.000 0.000 0.500
```

E in eV per atom: -4.82

Record 5
LiTm3C: optimized geometry, GGA-PBE.

```
LiTm3C
1.0
-4.108 -2.414 1.038
2.440 -4.219 -0.156
0.975 0.388 4.762
C Tm Li
1 3 1
direct
0.500 0.500 0.500
0.000 0.500 0.500
0.500 0.000 0.500
0.500 0.500 0.000
0.000 0.000 0.000
```

E in eV per atom: -5.00

Record 6
Lu2C3: optimized geometry, GGA-PBE.

```
Lu2C3
1.0
-3.996 -3.996 -3.996
-3.996 3.996 3.996
3.996 3.996 -3.996
Lu C
8 12
direct
0.000 0.500 0.400
0.500 0.400 0.500
0.100 0.100 0.600
0.400 0.000 0.000
0.000 0.500 0.900
0.600 0.600 0.100
0.900 0.000 0.000
0.500 0.900 0.500
0.041 0.791 0.250
0.250 0.291 0.041
0.459 0.709 0.750
0.209 0.959 0.250
0.791 0.750 0.541
0.709 0.250 0.959
0.750 0.041 0.291
0.541 0.250 0.791
0.959 0.750 0.709
0.291 0.541 0.750
0.750 0.209 0.459
0.250 0.459 0.209
```

E in eV per atom: -7.61

- Number 2 is which compound?
  LiPt3C

- What is the E in the third record?
  -4.74 eV per atom

- Look up the E of the sixth one.
  -7.61 eV per atom

- Which value of E does entry 4 give?
  -4.82 eV per atom